1.
Here is a relaxed Tb2Mg2Tl crystal from Alexandria via LeMat-Bulk. Energies are from PBE-GGA.

Cell and atoms, written as POSCAR:
```
Tb2Mg2Tl
1.0
4.051 -2.660 1.911
-0.311 5.131 0.718
2.264 -1.003 7.937
Tb Mg Tl
2 2 1
Cartesian
4.136 -0.863 7.737 Tb
1.867 2.330 2.829 Tb
2.289 -0.575 4.962 Mg
3.715 2.042 5.605 Mg
-0.155 2.565 0.359 Tl
```

Computed properties:
As for the formation energy: -0.160 eV per atom. The value obtained for the total magnetization is 0.00 μB/f.u. Its space-group type is P-1 (2). Its energy is -15.62 eV per cell. For the density of states at the Fermi level, the calculation gives 5.976 states/eV per cell.

2.
Here is a relaxed TbMg4Tl crystal from Alexandria via LeMat-Bulk. Energies are from PBE-GGA.

Cell and atoms, written as POSCAR:
```
TbMg4Tl
1.0
6.020 0.000 0.000
3.010 5.214 0.000
3.010 1.738 4.916
Tb Mg Tl
1 4 1
Cartesian
3.010 1.738 1.229 Tb
4.517 4.344 3.071 Mg
6.020 3.476 0.617 Mg
7.523 4.344 3.071 Mg
6.020 1.740 3.071 Mg
0.000 0.000 0.000 Tl
```

Computed properties:
As for the formation energy: 0.006 eV per atom. The value obtained for the total magnetization is 0.00 μB/f.u. Its space-group type is F-43m (216). Its energy is -13.34 eV per cell. For the density of states at the Fermi level, the calculation gives 4.208 states/eV per cell.

3.
Here is a relaxed Tb12Mg2Tl5 crystal from Alexandria via LeMat-Bulk. Energies are from PBE-GGA.

Cell and atoms, written as POSCAR:
```
Tb12Mg2Tl5
1.0
9.657 0.000 0.000
-4.829 6.679 1.383
0.000 -0.951 8.483
Tl Tb Mg
5 12 2
Cartesian
0.000 4.186 1.169 Tl
4.829 3.226 4.814 Tl
4.829 1.542 8.696 Tl
0.000 2.502 5.051 Tl
0.000 -0.475 4.241 Tl
3.079 3.971 7.695 Tb
-3.079 3.971 7.695 Tb
0.000 4.931 6.954 Tb
0.000 0.438 7.539 Tb
6.804 0.948 5.703 Tb
1.975 4.780 4.162 Tb
4.829 5.290 2.326 Tb
7.908 1.757 2.170 Tb
-1.975 4.780 4.162 Tb
1.750 1.757 2.170 Tb
2.853 0.948 5.703 Tb
4.829 0.797 2.911 Tb
6.476 0.000 0.000 Mg
3.182 0.000 0.000 Mg
```

Computed properties:
As for the formation energy: -0.091 eV per atom. The value obtained for the total magnetization is 0.00 μB/f.u. Its space-group type is C2/m (12). Its energy is -72.32 eV per cell. For the density of states at the Fermi level, the calculation gives 23.070 states/eV per cell.

4.
Here is a relaxed Tb3Mg2Tl4 crystal from Alexandria via LeMat-Bulk. Energies are from PBE-GGA.

Cell and atoms, written as POSCAR:
```
Tb3Mg2Tl4
1.0
4.934 0.000 0.000
-2.467 5.738 -0.716
0.000 -3.329 8.791
Mg Tb Tl
2 3 4
Cartesian
2.467 0.650 2.641 Mg
0.000 1.759 5.434 Mg
2.467 -0.560 5.777 Tb
0.000 0.000 0.000 Tb
0.000 2.970 2.298 Tb
2.467 2.051 0.127 Tl
2.467 3.052 4.841 Tl
0.000 0.359 7.948 Tl
0.000 -0.642 3.234 Tl
```

Computed properties:
As for the formation energy: -0.258 eV per atom. The value obtained for the total magnetization is 0.00 μB/f.u. Its space-group type is C2/m (12). Its energy is -28.87 eV per cell. For the density of states at the Fermi level, the calculation gives 5.540 states/eV per cell.

5.
Here is a relaxed TbMgTl2 crystal from Alexandria via LeMat-Bulk. Energies are from PBE-GGA.

Cell and atoms, written as POSCAR:
```
TbMgTl2
1.0
-3.560 -2.603 2.892
-3.169 -3.544 -2.283
0.652 -5.140 0.984
Tl Tb Mg
2 1 1
Cartesian
0.000 0.000 0.000 Tl
-3.039 -5.644 0.796 Tl
-1.519 -2.822 0.398 Tb
-4.558 -8.466 1.194 Mg
```

Computed properties:
As for the formation energy: -0.211 eV per atom. The value obtained for the total magnetization is 0.00 μB/f.u. Its space-group type is Fm-3m (225). Its energy is -11.80 eV per cell. For the density of states at the Fermi level, the calculation gives 3.064 states/eV per cell.

6.
Here is a relaxed Tb6MgTl crystal from Alexandria via LeMat-Bulk. Energies are from PBE-GGA.

Cell and atoms, written as POSCAR:
```
Tb6MgTl
1.0
4.828 -0.003 1.450
-0.442 4.808 1.451
-0.387 -0.425 10.015
Tl Mg Tb
1 1 6
Cartesian
2.193 2.402 1.451 Tl
0.000 0.000 0.000 Mg
4.007 1.743 4.167 Tb
3.109 3.404 7.145 Tb
0.892 0.976 5.772 Tb
2.627 0.232 8.749 Tb
-0.007 2.637 8.749 Tb
1.373 4.148 4.168 Tb
```

Computed properties:
As for the formation energy: -0.110 eV per atom. The value obtained for the total magnetization is 0.00 μB/f.u. Its space-group type is Fmmm (69). The offset from the most stable computed form is 0 meV/atom. Its energy is -32.62 eV per cell. For the density of states at the Fermi level, the calculation gives 9.214 states/eV per cell.

> What is the energy in the fourth record?

-28.87 eV per cell